# ZnHgRu

Crystalline ZnHgRu at its relaxed geometry (PBE-GGA, the Alexandria database).

Output
Total magnetization ... 0.06 μB/atom
Formation energy ... 0.311 eV/atom
Energy relative to the lowest polymorph listed for this composition ... 0 meV/atom

abc: 5.553 5.553 5.553
angles: 147.32 147.32 46.89
Fractional coordinates of all 3 atoms:
Zn1 0.000 0.000 0.000
Hg1 0.686 0.686 0.000
Ru1 0.370 0.370 0.000

=====

# ErSnC

Crystalline ErSnC at its relaxed geometry (PBE-GGA, the Alexandria database).

Output
Total magnetization ... 0.00 μB/atom
Formation energy ... 0.092 eV/atom
Energy relative to the lowest polymorph listed for this composition ... 0 meV/atom

abc: 3.631 3.631 5.116
angles: 90.00 90.00 120.00
Fractional coordinates of all 3 atoms:
Er1 0.000 0.000 0.000
Sn1 0.667 0.333 0.522
C1 0.333 0.667 0.800

=====

# CaLaErIn

Crystalline CaLaErIn at its relaxed geometry (PBE-GGA, the Alexandria database).

Output
Total magnetization ... 0.03 μB/atom
Formation energy ... -0.161 eV/atom

abc: 5.594 5.594 5.594
angles: 60.00 60.00 60.00
Fractional coordinates of all 4 atoms:
Ca1 0.000 0.000 0.000
La1 0.250 0.250 0.250
Er1 0.750 0.750 0.750
In1 0.500 0.500 0.500

=====

# K2LaCdF8

Crystalline K2LaCdF8 at its relaxed geometry (PBE-GGA, the Alexandria database).

Output
Total magnetization ... 0.09 μB/atom
Energy relative to the elements, uncorrected ... -2855 meV/atom

abc: 4.050 7.967 6.303
angles: 90.00 90.22 90.00
Fractional coordinates of all 12 atoms:
K1 0.000 0.242 0.000
K2 0.000 0.758 0.000
La1 0.500 0.500 0.500
Cd1 0.500 0.000 0.500
F1 0.000 0.500 0.284
F2 0.000 0.500 0.716
F3 0.004 0.000 0.297
F4 0.498 0.244 0.714
F5 0.498 0.756 0.714
F6 0.502 0.244 0.286
F7 0.502 0.756 0.286
F8 0.996 0.000 0.703

=====

# TlAgPb2Br6

Crystalline TlAgPb2Br6 at its relaxed geometry (PBE-GGA, the Alexandria database).

Output
Total magnetization ... 0.00 μB/atom
Energy relative to the elements, uncorrected ... -768 meV/atom

abc: 7.735 7.746 8.283
angles: 90.01 117.83 119.94
Fractional coordinates of all 10 atoms:
Tl1 0.000 0.000 0.000
Ag1 0.983 0.491 0.473
Pb1 0.587 0.294 0.880
Pb2 0.604 0.802 0.406
Br1 0.096 0.430 0.185
Br2 0.098 0.219 0.666
Br3 0.447 0.878 0.666
Br4 0.521 0.090 0.185
Br5 0.755 0.665 0.185
Br6 0.788 0.569 0.666

=====

# Sm4Y3Al4

Crystalline Sm4Y3Al4 at its relaxed geometry (PBE-GGA, the Alexandria database).

Output
Total magnetization ... 0.00 μB/atom
Formation energy ... -0.172 eV/atom

abc: 9.695 9.695 9.695
angles: 149.00 139.31 52.02
Fractional coordinates of all 11 atoms:
Sm1 0.056 0.821 0.236
Sm2 0.415 0.179 0.236
Sm3 0.585 0.821 0.764
Sm4 0.944 0.179 0.764
Y1 0.000 0.500 0.500
Y2 0.403 0.403 0.000
Y3 0.597 0.597 0.000
Al1 0.169 0.669 0.500
Al2 0.297 0.000 0.297
Al3 0.703 0.000 0.703
Al4 0.831 0.331 0.500